(1)
# UZnHgAu

UZnHgAu after structural relaxation (GGA-PBE, Alexandria via LeMat-Bulk).

Its calculated formation energy is 44 meV/atom. For the calculated total energy, the calculation gives -3.9915 eV per atom. As for the density of states at the Fermi level: 41.6 states/eV per cell.

It has space group F-43m (No. 216), with a = 6.9596 Å, b = 6.9596 Å, c = 6.9596 Å, α = 90.00°, β = 90.00° and γ = 90.00°. The distinct sites, in fractional coordinates, are U at (0.0000, 0.0000, 0.0000), Zn at (0.2500, 0.2500, 0.2500), Hg at (0.0000, 0.0000, 0.5000) and Au at (0.2500, 0.2500, 0.7500).


(2)
# AgBi6S9

AgBi6S9 after structural relaxation (GGA-PBE, Alexandria via LeMat-Bulk).

For the calculated total energy, the calculation gives -4.2513 eV per atom. The calculation puts the formation energy (no corrections) at -0.30 eV/atom. As for the density of states at the Fermi level: 6.8 states/eV per cell.

It has space group C2/m (No. 12), with a = 13.5287 Å, b = 4.1643 Å, c = 15.0871 Å, α = 90.00°, β = 98.83° and γ = 90.00°. The distinct sites, in fractional coordinates, are Ag at (0.0000, 0.0000, 0.0000), Bi at (0.0617, 0.0000, 0.3109), Bi at (0.1459, 0.5000, 0.5638), Bi at (0.2479, 0.0000, 0.8830), S at (0.0000, 0.0000, 0.5000), S at (0.0734, 0.5000, 0.7253), S at (0.1174, 0.0000, 0.1481), S at (0.1416, 0.5000, 0.9594) and S at (0.2139, 0.5000, 0.3859).


(3)
# Ba3CaTl2

Ba3CaTl2 after structural relaxation (GGA-PBE, Alexandria via LeMat-Bulk).

The value obtained for the offset from the most stable computed form is 0.0000 eV per atom. Its calculated formation energy is -274 meV/atom. For the calculated total energy, the calculation gives -2.3579 eV per atom. As for the density of states at the Fermi level: 4.7 states/eV per cell.

It has space group P4/mmm (No. 123), with a = 4.3245 Å, b = 4.3245 Å, c = 14.0908 Å, α = 90.00°, β = 90.00° and γ = 90.00°. The distinct sites, in fractional coordinates, are Ba at (0.0000, 0.0000, 0.0000), Ba at (0.0000, 0.0000, 0.2932), Ca at (0.5000, 0.5000, 0.5000) and Tl at (0.5000, 0.5000, 0.1530).


(4)
# CsTeBr3

CsTeBr3 after structural relaxation (GGA-PBE, Alexandria via LeMat-Bulk).

For the calculated total energy, the calculation gives -2.6805 eV per atom. The calculation puts the formation energy (no corrections) at -0.88 eV/atom.

It has space group P1 (No. 1), with a = 5.7251 Å, b = 7.9201 Å, c = 11.3188 Å, α = 102.90°, β = 98.10° and γ = 102.15°. The distinct sites, in fractional coordinates, are Cs at (0.0000, 0.0000, 0.0000), Cs at (0.3086, 0.4426, 0.5331), Te at (0.5500, 0.5824, 0.0769), Te at (0.7587, 0.8592, 0.4555), Br at (0.3742, 0.6870, 0.8807), Br at (0.5529, 0.2652, 0.9364), Br at (0.5612, 0.9401, 0.2271), Br at (0.7476, 0.5015, 0.3054), Br at (0.7556, 0.1765, 0.5957) and Br at (0.9342, 0.7550, 0.6519).


(5)
# Y4SnPbC

Y4SnPbC after structural relaxation (GGA-PBE, Alexandria via LeMat-Bulk).

Its calculated formation energy is -639 meV/atom. For the calculated total energy, the calculation gives -6.7525 eV per atom. As for the density of states at the Fermi level: 2.5 states/eV per cell.

It has space group Cmcm (No. 63), with a = 6.8161 Å, b = 16.0468 Å, c = 6.8129 Å, α = 90.00°, β = 90.00° and γ = 90.00°. The distinct sites, in fractional coordinates, are Y at (0.0000, 0.0903, 0.2500), Y at (0.0000, 0.4080, 0.2500), Y at (0.2500, 0.2500, 0.0000), Sn at (0.0000, 0.1098, 0.7500), Pb at (0.0000, 0.3926, 0.7500) and C at (0.0000, 0.2497, 0.2500).


(6)
# KBe4Re

KBe4Re after structural relaxation (GGA-PBE, Alexandria via LeMat-Bulk).

Its calculated formation energy is 900 meV/atom. For the calculated total energy, the calculation gives -3.8414 eV per atom. As for the density of states at the Fermi level: 16.2 states/eV per cell.

It has space group F-43m (No. 216), with a = 6.7078 Å, b = 6.7078 Å, c = 6.7078 Å, α = 90.00°, β = 90.00° and γ = 90.00°. The distinct sites, in fractional coordinates, are K at (0.0000, 0.0000, 0.0000), Be at (0.1181, 0.1181, 0.3819) and Re at (0.2500, 0.2500, 0.7500).


Question: Among the records above, which one has the highest calculated total energy?
Answer: Ba3CaTl2


Question: Which value of calculated total energy does entry 1 give?
Answer: -3.9915 eV per atom


Question: Which of these has the highest calculated total energy?
Answer: Ba3CaTl2


Question: Which of these has the highest calculated total energy?
Answer: Ba3CaTl2